#A
Material: FeAs2CBr
Method: DFT, PBE
State: optimized geometry

Output
Volume ... 80 Å³/cell
DOS at the Fermi energy ... 5.997 states/eV/cell

Cell: 4.2230 4.2230 4.5091 Å, 90.00 90.00 90.00°
Sites, in units of the cell vectors:
As 0.0000 0.5000 0.0000
As 0.5000 0.0000 0.0000
Fe 0.5000 0.5000 0.5000
C 0.0000 0.0000 0.0000
Br 0.0000 0.0000 0.5000

#B
Material: FeAs2CBr
Method: DFT, PBE
State: optimized geometry

Output
Volume ... 102 Å³/cell
DOS at the Fermi energy ... 3.915 states/eV/cell

Cell: 4.4229 4.4229 5.2214 Å, 90.00 90.00 90.00°
Sites, in units of the cell vectors:
As 0.0000 0.5000 0.0000
As 0.5000 0.0000 0.0000
Fe 0.0000 0.0000 0.0000
Br 0.0000 0.0000 0.5000
C 0.5000 0.5000 0.5000

If we sort the structures by their calculated energies, the order from most to least stable is #A, #B.

#A
Material: GeAsCBr2
Method: DFT, PBE
State: optimized geometry

Output
Volume ... 146 Å³/cell
DOS at the Fermi energy ... 6.223 states/eV/cell

Cell: 5.2812 5.2812 5.2379 Å, 90.00 90.00 90.00°
Sites, in units of the cell vectors:
Br 0.5000 0.0000 0.0000
Br 0.0000 0.5000 0.0000
Ge 0.0000 0.0000 0.0000
C 0.5000 0.5000 0.5000
As 0.0000 0.0000 0.5000

#B
Material: GeAsCBr2
Method: DFT, PBE
State: optimized geometry

Output
Volume ... 100 Å³/cell
DOS at the Fermi energy ... 2.560 states/eV/cell

Cell: 4.7357 4.7357 4.4507 Å, 90.00 90.00 90.00°
Sites, in units of the cell vectors:
Br 0.5000 0.0000 0.0000
Br 0.0000 0.5000 0.0000
C 0.0000 0.0000 0.0000
As 0.0000 0.0000 0.5000
Ge 0.5000 0.5000 0.5000

If we sort the structures by their calculated energies, the order from most to least stable is #B, #A.

#A
Material: HfAs2CBr
Method: DFT, PBE
State: optimized geometry

Output
Volume ... 87 Å³/cell
DOS at the Fermi energy ... 1.622 states/eV/cell

Cell: 4.3684 4.3684 4.5665 Å, 90.00 90.00 90.00°
Sites, in units of the cell vectors:
C 0.0000 0.0000 0.0000
As 0.0000 0.5000 0.0000
As 0.5000 0.0000 0.0000
Hf 0.5000 0.5000 0.5000
Br 0.0000 0.0000 0.5000

#B
Material: HfAs2CBr
Method: DFT, PBE
State: optimized geometry

Output
Volume ... 140 Å³/cell
DOS at the Fermi energy ... 4.329 states/eV/cell

Cell: 5.2082 5.2082 5.1797 Å, 90.00 90.00 90.00°
Sites, in units of the cell vectors:
Br 0.0000 0.0000 0.5000
As 0.5000 0.0000 0.0000
As 0.0000 0.5000 0.0000
C 0.5000 0.5000 0.5000
Hf 0.0000 0.0000 0.0000

If we sort the structures by their calculated energies, the order from most to least stable is #A, #B.

#A
Material: AsIrCBr2
Method: DFT, PBE
State: optimized geometry

Output
Volume ... 128 Å³/cell
DOS at the Fermi energy ... 4.675 states/eV/cell

Cell: 5.2580 5.2580 4.6278 Å, 90.00 90.00 90.00°
Sites, in units of the cell vectors:
Ir 0.0000 0.0000 0.0000
C 0.5000 0.5000 0.5000
Br 0.0000 0.5000 0.0000
Br 0.5000 0.0000 0.0000
As 0.0000 0.0000 0.5000

#B
Material: AsIrCBr2
Method: DFT, PBE
State: optimized geometry

Output
Volume ... 88 Å³/cell
DOS at the Fermi energy ... 5.152 states/eV/cell

Cell: 4.5022 4.5022 4.3173 Å, 90.00 90.00 90.00°
Sites, in units of the cell vectors:
As 0.0000 0.0000 0.5000
Ir 0.5000 0.5000 0.5000
Br 0.5000 0.0000 0.0000
Br 0.0000 0.5000 0.0000
C 0.0000 0.0000 0.0000

If we sort the structures by their calculated energies, the order from most to least stable is #A, #B.